(1)
# Ce2SeBr3 (PBE-GGA, optimized geometry)
# - DOS(E_F) (states/eV/cell) = 29.88
# - total energy (eV per cell) = -61.91
# - raw formation energy (eV per atom) = -1.76
data_Ce2SeBr3
_symmetry_space_group_name_H-M 'P 1 21/m 1'
_symmetry_Int_Tables_number 11
_symmetry_space_group_name_Hall '-P 2yb'
_cell_length_a 8.620
_cell_length_b 4.147
_cell_length_c 11.148
_cell_angle_alpha 90.00
_cell_angle_beta 109.67
_cell_angle_gamma 90.00
loop_
_atom_site_label
_atom_site_type_symbol
_atom_site_fract_x
_atom_site_fract_y
_atom_site_fract_z
_atom_site_occupancy
Ce1 Ce 0.175 0.250 0.195 1
Ce2 Ce 0.309 0.250 0.581 1
Se1 Se 0.320 0.750 0.393 1
Br1 Br 0.051 0.750 0.639 1
Br2 Br 0.180 0.750 0.995 1
Br3 Br 0.469 0.750 0.793 1

***

(2)
# Ce4Se2Br3 (PBE-GGA, optimized geometry)
# - DOS(E_F) (states/eV/cell) = 47.65
# - total energy (eV per cell) = -100.47
# - raw formation energy (eV per atom) = -1.61
data_Ce4Se2Br3
_symmetry_space_group_name_H-M 'C 1 2/m 1'
_symmetry_Int_Tables_number 12
_symmetry_space_group_name_Hall '-C 2y'
_cell_length_a 7.289
_cell_length_b 4.208
_cell_length_c 17.336
_cell_angle_alpha 90.00
_cell_angle_beta 90.05
_cell_angle_gamma 90.00
loop_
_atom_site_label
_atom_site_type_symbol
_atom_site_fract_x
_atom_site_fract_y
_atom_site_fract_z
_atom_site_occupancy
Ce1 Ce 0.001 0.000 0.293 1
Ce2 Ce 0.166 0.500 0.895 1
Se1 Se 0.167 0.500 0.199 1
Br1 Br 0.000 0.000 0.000 1
Br2 Br 0.166 0.500 0.602 1

***

(3)
# Ce5Se4Br (PBE-GGA, optimized geometry)
# - DOS(E_F) (states/eV/cell) = 94.11
# - total energy (eV per cell) = -184.06
# - raw formation energy (eV per atom) = -1.61
data_Ce5Se4Br
_symmetry_space_group_name_H-M 'R -3 m'
_symmetry_Int_Tables_number 166
_symmetry_space_group_name_Hall '-R 3 2"'
_cell_length_a 4.1304
_cell_length_b 4.1304
_cell_length_c 53.9400
_cell_angle_alpha 90.00
_cell_angle_beta 90.00
_cell_angle_gamma 120.00
loop_
_atom_site_label
_atom_site_type_symbol
_atom_site_fract_x
_atom_site_fract_y
_atom_site_fract_z
_atom_site_occupancy
Ce1 Ce 0.0000 0.0000 0.0000 1
Ce2 Ce 0.0000 0.0000 0.1994 1
Ce3 Ce 0.0000 0.0000 0.2693 1
Se1 Se 0.0000 0.0000 0.0995 1
Se2 Se 0.0000 0.0000 0.3656 1
Br1 Br 0.0000 0.0000 0.5000 1

***

(4)
# CeSe2Br4 (PBE-GGA, optimized geometry)
# - DOS(E_F) (states/eV/cell) = 8.18
# - total energy (eV per cell) = -53.58
# - raw formation energy (eV per atom) = -1.03
data_CeSe2Br4
_symmetry_space_group_name_H-M 'C 1 2/m 1'
_symmetry_Int_Tables_number 12
_symmetry_space_group_name_Hall '-C 2y'
_cell_length_a 18.001
_cell_length_b 4.103
_cell_length_c 7.727
_cell_angle_alpha 90.00
_cell_angle_beta 92.16
_cell_angle_gamma 90.00
loop_
_atom_site_label
_atom_site_type_symbol
_atom_site_fract_x
_atom_site_fract_y
_atom_site_fract_z
_atom_site_occupancy
Ce1 Ce 0.000 0.000 0.000 1
Se1 Se 0.246 0.500 0.581 1
Br1 Br 0.032 0.500 0.255 1
Br2 Br 0.145 0.000 0.916 1

***

(5)
# CeSeBr2 (PBE-GGA, optimized geometry)
# - total energy (eV per cell) = -75.19
# - ΔE to the lowest computed polymorph (meV per atom) = 0.0
# - raw formation energy (eV per atom) = -1.51
data_CeSeBr2
_symmetry_space_group_name_H-M 'C m c m'
_symmetry_Int_Tables_number 63
_symmetry_space_group_name_Hall '-C 2c 2'
_cell_length_a 4.037
_cell_length_b 13.661
_cell_length_c 9.237
_cell_angle_alpha 90.00
_cell_angle_beta 90.00
_cell_angle_gamma 90.00
loop_
_atom_site_label
_atom_site_type_symbol
_atom_site_fract_x
_atom_site_fract_y
_atom_site_fract_z
_atom_site_occupancy
Ce1 Ce 0.000 0.237 0.250 1
Se1 Se 0.000 0.399 0.750 1
Br1 Br 0.000 0.150 0.567 1

***

(6)
# CeSeBr2 (PBE-GGA, optimized geometry)
# - DOS(E_F) (states/eV/cell) = 2.95
# - total energy (eV per cell) = -37.38
# - ΔE to the lowest computed polymorph (meV per atom) = 26.8
# - raw formation energy (eV per atom) = -1.48
data_CeSeBr2
_symmetry_space_group_name_H-M 'C 1 m 1'
_symmetry_Int_Tables_number 8
_symmetry_space_group_name_Hall 'C -2y'
_cell_length_a 10.291
_cell_length_b 3.931
_cell_length_c 7.695
_cell_angle_alpha 90.00
_cell_angle_beta 111.93
_cell_angle_gamma 90.00
loop_
_atom_site_label
_atom_site_type_symbol
_atom_site_fract_x
_atom_site_fract_y
_atom_site_fract_z
_atom_site_occupancy
Ce1 Ce 0.000 0.000 0.000 1
Se1 Se 0.200 0.500 0.000 1
Br1 Br 0.005 0.500 0.284 1
Br2 Br 0.346 0.000 0.716 1